Below is a relaxed LiYMg2H crystal, with properties calculated at the PBE level. Values from VASP.

- N(E_F) (states/eV/atom) = 0.56
- crystal system = tetragonal
- SG = P4/mmm
- total DFT energy (no corrections) (eV per atom) = -3.07

Structure (Quantum ESPRESSO input):
```
&SYSTEM
  ibrav = 0, nat = 5, ntyp = 4
/
ATOMIC_SPECIES
H 1.01 H.upf
Li 6.94 Li.upf
Mg 24.30 Mg.upf
Y 88.91 Y.upf
ATOMIC_POSITIONS angstrom
H 0.000 0.000 0.000
Li 2.133 -2.413 2.424
Mg -0.839 -1.857 1.307
Mg 1.952 -1.302 -0.596
Y 1.020 0.745 1.714
CELL_PARAMETERS angstrom
-1.678 -3.714 2.614
3.904 -2.603 -1.193
2.041 1.490 3.427
```

***

Below is a relaxed SmTm2Tl crystal, with properties calculated at the PBE level. Values from VASP.

- N(E_F) (states/eV/atom) = 1.33
- crystal system = cubic
- SG = Fm-3m
- total DFT energy (no corrections) (eV per atom) = -3.99

Structure (Quantum ESPRESSO input):
```
&SYSTEM
  ibrav = 0, nat = 4, ntyp = 3
/
ATOMIC_SPECIES
Tl 204.38 Tl.upf
Sm 150.36 Sm.upf
Tm 168.93 Tm.upf
ATOMIC_POSITIONS angstrom
Tl -3.536 3.843 4.147
Sm 0.000 0.000 0.000
Tm -5.304 5.765 6.221
Tm -1.768 1.922 2.074
CELL_PARAMETERS angstrom
-0.693 5.071 1.858
-4.992 1.788 1.236
-1.386 0.828 5.200
```

***

Below is a relaxed Zr6HgPb crystal, with properties calculated at the PBE level. Values from VASP.

- N(E_F) (states/eV/atom) = 0.96
- crystal system = tetragonal
- SG = P4/mmm
- total DFT energy (no corrections) (eV per atom) = -7.06

Structure (Quantum ESPRESSO input):
```
&SYSTEM
  ibrav = 0, nat = 8, ntyp = 3
/
ATOMIC_SPECIES
Hg 200.59 Hg.upf
Zr 91.22 Zr.upf
Pb 207.20 Pb.upf
ATOMIC_POSITIONS angstrom
Hg 3.352 -2.791 0.867
Zr -0.488 -1.451 -2.783
Zr 5.779 -3.894 -0.796
Zr 3.750 -5.897 0.604
Zr 2.864 -4.241 -1.916
Zr 2.466 -1.135 -1.653
Zr 0.436 -3.138 -0.253
Pb 0.000 0.000 0.000
CELL_PARAMETERS angstrom
-2.518 -3.453 -1.383
1.541 0.552 -4.183
6.703 -5.581 1.734
```

***

Below is a relaxed TlFeTc crystal, with properties calculated at the PBE level. Values from VASP.

- N(E_F) (states/eV/atom) = 1.09
- crystal system = trigonal
- SG = P3m1
- total DFT energy (no corrections) (eV per atom) = -6.44

Structure (Quantum ESPRESSO input):
```
&SYSTEM
  ibrav = 0, nat = 3, ntyp = 3
/
ATOMIC_SPECIES
Tl 204.38 Tl.upf
Fe 55.84 Fe.upf
Tc 98.00 Tc.upf
ATOMIC_POSITIONS angstrom
Tl -2.261 -4.087 -1.059
Fe -0.138 -0.130 -0.005
Tc -1.490 -1.259 -1.759
CELL_PARAMETERS angstrom
-1.074 1.235 -2.472
2.031 -2.153 -0.180
-4.846 -4.558 -0.171
```

***

Below is a relaxed Rb2NbHgBr6 crystal, with properties calculated at the PBE level. Values from VASP.

- ΔE_f (raw) (eV/atom) = -1.12
- N(E_F) (states/eV/atom) = 0.62
- crystal system = trigonal
- SG = R-3m
- total DFT energy (no corrections) (eV per atom) = -3.36

Structure (Quantum ESPRESSO input):
```
&SYSTEM
  ibrav = 0, nat = 20, ntyp = 4
/
ATOMIC_SPECIES
Br 79.90 Br.upf
Nb 92.91 Nb.upf
Rb 85.47 Rb.upf
Hg 200.59 Hg.upf
ATOMIC_POSITIONS angstrom
Br 1.673 -9.448 4.031
Br 0.333 -12.040 6.312
Nb 2.089 -11.992 4.391
Br 2.505 -14.536 4.751
Br 2.736 -13.676 12.548
Br 3.845 -11.944 2.470
Br 1.442 -10.308 -3.765
Br 1.207 -16.934 11.068
Br 3.944 -11.473 6.143
Nb 0.000 0.000 0.000
Rb 0.652 -4.413 -0.884
Br 5.047 -16.331 10.888
Br 2.971 -7.050 -2.286
Hg 2.630 -14.170 8.628
Hg 1.548 -9.814 0.154
Rb 3.527 -19.571 9.666
Br -0.869 -7.653 -2.106
Br 0.235 -12.511 2.640
Rb 2.448 -15.225 1.211
Rb 1.731 -8.760 7.571
CELL_PARAMETERS angstrom
-2.967 -6.321 -2.870
4.483 -5.151 -3.220
2.663 -12.513 14.873
```

***

Below is a relaxed Ta2ZnAu crystal, with properties calculated at the PBE level. Values from VASP.

- N(E_F) (states/eV/atom) = 0.88
- crystal system = orthorhombic
- SG = Amm2
- total DFT energy (no corrections) (eV per atom) = -7.06

Structure (Quantum ESPRESSO input):
```
&SYSTEM
  ibrav = 0, nat = 4, ntyp = 3
/
ATOMIC_SPECIES
Ta 180.95 Ta.upf
Zn 65.41 Zn.upf
Au 196.97 Au.upf
ATOMIC_POSITIONS angstrom
Ta -1.954 2.059 0.712
Zn -2.789 0.106 2.596
Ta -4.397 0.632 5.279
Au -3.547 2.527 3.233
CELL_PARAMETERS angstrom
-1.256 3.837 -1.505
-2.717 -0.867 0.055
-1.856 1.462 5.275
```

***

Below is a relaxed ScTc2Ir crystal, with properties calculated at the PBE level. Values from VASP.

- N(E_F) (states/eV/atom) = 0.85
- crystal system = monoclinic
- SG = P2/m
- total DFT energy (no corrections) (eV per atom) = -9.04

Structure (Quantum ESPRESSO input):
```
&SYSTEM
  ibrav = 0, nat = 4, ntyp = 3
/
ATOMIC_SPECIES
Sc 44.96 Sc.upf
Tc 98.00 Tc.upf
Ir 192.22 Ir.upf
ATOMIC_POSITIONS angstrom
Sc 2.551 -4.512 0.759
Tc 0.175 -1.930 -1.864
Tc 2.368 -2.093 -0.484
Ir 0.187 -2.471 1.192
CELL_PARAMETERS angstrom
-1.989 -2.901 2.818
0.180 -1.983 -1.915
4.547 -2.099 1.048
```

***

Below is a relaxed CuC crystal, with properties calculated at the PBE level. Values from VASP.

- N(E_F) (states/eV/atom) = 0.21
- crystal system = orthorhombic
- SG = Cmcm
- total DFT energy (no corrections) (eV per atom) = -5.93

Structure (Quantum ESPRESSO input):
```
&SYSTEM
  ibrav = 0, nat = 4, ntyp = 2
/
ATOMIC_SPECIES
C 12.01 C.upf
Cu 63.55 Cu.upf
ATOMIC_POSITIONS angstrom
C -3.076 -5.074 2.661
Cu -2.698 -3.859 0.881
C -1.627 -0.409 0.082
Cu -2.005 -1.624 1.861
CELL_PARAMETERS angstrom
-1.082 0.827 2.125
-2.761 -0.767 -1.104
-0.860 -5.543 1.721
```

***

Below is a relaxed TeRh2Pb crystal, with properties calculated at the PBE level. Values from VASP.

- ΔE_f (raw) (eV/atom) = 0.06
- N(E_F) (states/eV/atom) = 1.14
- crystal system = tetragonal
- SG = P4/mmm
- total DFT energy (no corrections) (eV per atom) = -5.33

Structure (Quantum ESPRESSO input):
```
&SYSTEM
  ibrav = 0, nat = 4, ntyp = 3
/
ATOMIC_SPECIES
Rh 102.91 Rh.upf
Te 127.60 Te.upf
Pb 207.20 Pb.upf
ATOMIC_POSITIONS angstrom
Rh 2.395 0.000 0.000
Rh 0.000 2.395 0.000
Te 2.395 2.395 1.663
Pb 0.000 0.000 1.663
CELL_PARAMETERS angstrom
4.791 0.000 0.000
0.000 4.791 0.000
0.000 0.000 3.325
```

***

Below is a relaxed FeHCI crystal, with properties calculated at the PBE level. Values from VASP.

- N(E_F) (states/eV/atom) = 0.75
- crystal system = triclinic
- SG = P1
- total DFT energy (no corrections) (eV per atom) = -5.09

Structure (Quantum ESPRESSO input):
```
&SYSTEM
  ibrav = 0, nat = 4, ntyp = 4
/
ATOMIC_SPECIES
C 12.01 C.upf
H 1.01 H.upf
I 126.90 I.upf
Fe 55.84 Fe.upf
ATOMIC_POSITIONS angstrom
C -2.568 0.820 0.533
H -0.958 2.661 2.891
I -2.152 5.628 1.629
Fe -0.712 0.737 1.198
CELL_PARAMETERS angstrom
-2.234 7.434 0.249
-3.022 -0.902 0.584
1.941 0.781 2.437
```

***

Below is a relaxed PaTi3 crystal, with properties calculated at the PBE level. Values from VASP.

- N(E_F) (states/eV/atom) = 1.74
- crystal system = orthorhombic
- SG = Imm2
- total DFT energy (no corrections) (eV per atom) = -8.21

Structure (Quantum ESPRESSO input):
```
&SYSTEM
  ibrav = 0, nat = 4, ntyp = 2
/
ATOMIC_SPECIES
Pa 231.04 Pa.upf
Ti 47.87 Ti.upf
ATOMIC_POSITIONS angstrom
Pa -0.016 -0.104 -0.131
Ti 0.463 -1.620 2.614
Ti -1.432 -2.401 -1.604
Ti 1.260 -2.532 -0.177
CELL_PARAMETERS angstrom
-2.316 -1.241 1.270
-0.508 -3.301 -4.151
4.342 -0.945 3.639
```

***

Below is a relaxed IrAuSe crystal, with properties calculated at the PBE level. Values from VASP.

- ΔE_f (raw) (eV/atom) = 0.48
- N(E_F) (states/eV/atom) = 1.20
- crystal system = cubic
- SG = F-43m
- total DFT energy (no corrections) (eV per atom) = -4.73

Structure (Quantum ESPRESSO input):
```
&SYSTEM
  ibrav = 0, nat = 3, ntyp = 3
/
ATOMIC_SPECIES
Au 196.97 Au.upf
Se 78.96 Se.upf
Ir 192.22 Ir.upf
ATOMIC_POSITIONS angstrom
Au 4.384 2.531 1.790
Se 0.000 0.000 0.000
Ir 2.192 1.266 0.895
CELL_PARAMETERS angstrom
4.384 0.000 0.000
2.192 3.797 0.000
2.192 1.266 3.580
```